An optimized crystal structure of Ti2B2Pd. Source: Alexandria, functional GGA-PBE.

Computed properties:
Energy above the most stable polymorph in this dataset ... 0 meV per atom
Total magnetization ... 0.0 μB/cell
Formation energy ... -695 meV/atom
Volume ... 114.1 Å³ per cell
Density of states at the Fermi level ... 7.12 states/eV/cell

CIF file:
```
data_Ti2B2Pd
_chemical_formula_sum 'Ti4 B4 Pd2'
_symmetry_space_group_name_H-M 'P 4/m b m'
_symmetry_Int_Tables_number 127
_symmetry_space_group_name_Hall '-P 4 2ab'
_cell_length_a 5.7397
_cell_length_b 5.7397
_cell_length_c 3.4626
_cell_angle_alpha 90.00
_cell_angle_beta 90.00
_cell_angle_gamma 90.00
loop_
_atom_site_label
_atom_site_type_symbol
_atom_site_fract_x
_atom_site_fract_y
_atom_site_fract_z
_atom_site_occupancy
Ti1 Ti 0.1716 0.3284 0.0000 1
B1 B 0.1115 0.6115 0.5000 1
Pd1 Pd 0.0000 0.0000 0.5000 1
```

=====

An optimized crystal structure of CuTe2. Source: Alexandria, functional GGA-PBE.

Computed properties:
Total magnetization ... 0.0 μB/cell
Volume ... 344.6 Å³ per cell
Formation energy (no corrections) ... 0.18 eV per atom
Density of states at the Fermi level ... 9.85 states/eV/cell

CIF file:
```
data_CuTe2
_chemical_formula_sum 'Cu4 Te8'
_symmetry_space_group_name_H-M 'C m m m'
_symmetry_Int_Tables_number 65
_symmetry_space_group_name_Hall '-C 2 2'
_cell_length_a 5.6584
_cell_length_b 15.8211
_cell_length_c 3.8488
_cell_angle_alpha 90.00
_cell_angle_beta 90.00
_cell_angle_gamma 90.00
loop_
_atom_site_label
_atom_site_type_symbol
_atom_site_fract_x
_atom_site_fract_y
_atom_site_fract_z
_atom_site_occupancy
Cu1 Cu 0.0000 0.1200 0.0000 1
Te1 Te 0.0000 0.0000 0.5000 1
Te2 Te 0.0000 0.2300 0.5000 1
Te3 Te 0.0000 0.5000 0.0000 1
```

=====

An optimized crystal structure of La5Ni4. Source: Alexandria, functional GGA-PBE.

Computed properties:
Energy above the most stable polymorph in this dataset ... 93 meV per atom
Total magnetization ... 0.0 μB/cell
Formation energy ... -195 meV/atom
Volume ... 439.7 Å³ per cell
Density of states at the Fermi level ... 18.49 states/eV/cell

CIF file:
```
data_La5Ni4
_chemical_formula_sum 'La10 Ni8'
_symmetry_space_group_name_H-M 'P 63/m c m'
_symmetry_Int_Tables_number 193
_symmetry_space_group_name_Hall '-P 6c 2'
_cell_length_a 8.4276
_cell_length_b 8.4276
_cell_length_c 7.1483
_cell_angle_alpha 90.00
_cell_angle_beta 90.00
_cell_angle_gamma 120.00
loop_
_atom_site_label
_atom_site_type_symbol
_atom_site_fract_x
_atom_site_fract_y
_atom_site_fract_z
_atom_site_occupancy
La1 La 0.0000 0.2609 0.2500 1
La2 La 0.3333 0.6667 0.0000 1
Ni1 Ni 0.0000 0.0000 0.0000 1
Ni2 Ni 0.0000 0.3929 0.7500 1
```

=====

An optimized crystal structure of CaTa2Re. Source: Alexandria, functional GGA-PBE.

Computed properties:
Energy above the most stable polymorph in this dataset ... 13 meV per atom
Total magnetization ... 0.0 μB/cell
Formation energy ... 371 meV/atom
Volume ... 157.0 Å³ per cell
Density of states at the Fermi level ... 8.31 states/eV/cell

CIF file:
```
data_CaTa2Re
_chemical_formula_sum 'Ca2 Ta4 Re2'
_symmetry_space_group_name_H-M 'C m m m'
_symmetry_Int_Tables_number 65
_symmetry_space_group_name_Hall '-C 2 2'
_cell_length_a 3.2918
_cell_length_b 4.7974
_cell_length_c 9.9421
_cell_angle_alpha 90.00
_cell_angle_beta 90.00
_cell_angle_gamma 90.00
loop_
_atom_site_label
_atom_site_type_symbol
_atom_site_fract_x
_atom_site_fract_y
_atom_site_fract_z
_atom_site_occupancy
Ca1 Ca 0.0000 0.0000 0.0000 1
Ta1 Ta 0.0000 0.5000 0.2867 1
Re1 Re 0.0000 0.0000 0.5000 1
```

=====

An optimized crystal structure of TmVFe2. Source: Alexandria, functional GGA-PBE.

Computed properties:
Energy above the most stable polymorph in this dataset ... 371 meV per atom
Total magnetization ... 6.5 μB/cell
Formation energy ... 383 meV/atom
Volume ... 184.9 Å³ per cell
Density of states at the Fermi level ... 14.09 states/eV/cell

CIF file:
```
data_TmVFe2
_chemical_formula_sum 'Tm3 V3 Fe6'
_symmetry_space_group_name_H-M 'R -3 m'
_symmetry_Int_Tables_number 166
_symmetry_space_group_name_Hall '-R 3 2"'
_cell_length_a 3.0154
_cell_length_b 3.0154
_cell_length_c 23.4758
_cell_angle_alpha 90.00
_cell_angle_beta 90.00
_cell_angle_gamma 120.00
loop_
_atom_site_label
_atom_site_type_symbol
_atom_site_fract_x
_atom_site_fract_y
_atom_site_fract_z
_atom_site_occupancy
Tm1 Tm 0.0000 0.0000 0.0000 1
V1 V 0.0000 0.0000 0.5000 1
Fe1 Fe 0.0000 0.0000 0.2382 1
```

=====

An optimized crystal structure of CaInNi. Source: Alexandria, functional GGA-PBE.

Computed properties:
Total magnetization ... 0.0 μB/cell
Formation energy ... -154 meV/atom
Volume ... 281.0 Å³ per cell
Density of states at the Fermi level ... 7.98 states/eV/cell

CIF file:
```
data_CaInNi
_chemical_formula_sum 'Ca4 In4 Ni4'
_symmetry_space_group_name_H-M 'F -4 3 m'
_symmetry_Int_Tables_number 216
_symmetry_space_group_name_Hall 'F -4 2 3'
_cell_length_a 6.5501
_cell_length_b 6.5501
_cell_length_c 6.5501
_cell_angle_alpha 90.00
_cell_angle_beta 90.00
_cell_angle_gamma 90.00
loop_
_atom_site_label
_atom_site_type_symbol
_atom_site_fract_x
_atom_site_fract_y
_atom_site_fract_z
_atom_site_occupancy
Ca1 Ca 0.0000 0.0000 0.0000 1
In1 In 0.0000 0.0000 0.5000 1
Ni1 Ni 0.2500 0.2500 0.7500 1
```

=====

An optimized crystal structure of KSb3Cl. Source: Alexandria, functional GGA-PBE.

Computed properties:
Energy above the most stable polymorph in this dataset ... 0 meV per atom
Total magnetization ... 0.0 μB/cell
Volume ... 170.4 Å³ per cell
Formation energy (no corrections) ... 0.36 eV per atom
Density of states at the Fermi level ... 4.96 states/eV/cell

CIF file:
```
data_KSb3Cl
_chemical_formula_sum 'K1 Sb3 Cl1'
_symmetry_space_group_name_H-M 'P m -3 m'
_symmetry_Int_Tables_number 221
_symmetry_space_group_name_Hall '-P 4 2 3'
_cell_length_a 5.5438
_cell_length_b 5.5438
_cell_length_c 5.5438
_cell_angle_alpha 90.00
_cell_angle_beta 90.00
_cell_angle_gamma 90.00
loop_
_atom_site_label
_atom_site_type_symbol
_atom_site_fract_x
_atom_site_fract_y
_atom_site_fract_z
_atom_site_occupancy
K1 K 0.0000 0.0000 0.0000 1
Sb1 Sb 0.0000 0.5000 0.5000 1
Cl1 Cl 0.5000 0.5000 0.5000 1
```

=====

An optimized crystal structure of LiBiPd2. Source: Alexandria, functional GGA-PBE.

Computed properties:
Total magnetization ... 0.0 μB/cell
Formation energy ... -369 meV/atom
Volume ... 281.1 Å³ per cell
Density of states at the Fermi level ... 9.94 states/eV/cell

CIF file:
```
data_LiBiPd2
_chemical_formula_sum 'Li4 Bi4 Pd8'
_symmetry_space_group_name_H-M 'F -4 3 m'
_symmetry_Int_Tables_number 216
_symmetry_space_group_name_Hall 'F -4 2 3'
_cell_length_a 6.5504
_cell_length_b 6.5504
_cell_length_c 6.5504
_cell_angle_alpha 90.00
_cell_angle_beta 90.00
_cell_angle_gamma 90.00
loop_
_atom_site_label
_atom_site_type_symbol
_atom_site_fract_x
_atom_site_fract_y
_atom_site_fract_z
_atom_site_occupancy
Li1 Li 0.0000 0.0000 0.0000 1
Bi1 Bi 0.2500 0.2500 0.2500 1
Pd1 Pd 0.0000 0.0000 0.5000 1
Pd2 Pd 0.2500 0.2500 0.7500 1
```

=====

An optimized crystal structure of IrRuS2. Source: Alexandria, functional GGA-PBE.

Computed properties:
Energy above the most stable polymorph in this dataset ... 77 meV per atom
Total magnetization ... 0.0 μB/cell
Volume ... 189.8 Å³ per cell
Formation energy (no corrections) ... 0.05 eV per atom
Density of states at the Fermi level ... 11.35 states/eV/cell

CIF file:
```
data_IrRuS2
_chemical_formula_sum 'Ir3 Ru3 S6'
_symmetry_space_group_name_H-M 'R -3 m'
_symmetry_Int_Tables_number 166
_symmetry_space_group_name_Hall '-R 3 2"'
_cell_length_a 3.1057
_cell_length_b 3.1057
_cell_length_c 22.7253
_cell_angle_alpha 90.00
_cell_angle_beta 90.00
_cell_angle_gamma 120.00
loop_
_atom_site_label
_atom_site_type_symbol
_atom_site_fract_x
_atom_site_fract_y
_atom_site_fract_z
_atom_site_occupancy
Ir1 Ir 0.0000 0.0000 0.0000 1
Ru1 Ru 0.0000 0.0000 0.5000 1
S1 S 0.0000 0.0000 0.0982 1
```

=====

An optimized crystal structure of Pm3Pt2. Source: Alexandria, functional GGA-PBE.

Computed properties:
Energy above the most stable polymorph in this dataset ... 0 meV per atom
Total magnetization ... 0.0 μB/cell
Formation energy ... -952 meV/atom
Volume ... 538.8 Å³ per cell
Density of states at the Fermi level ... 16.12 states/eV/cell

CIF file:
```
data_Pm3Pt2
_chemical_formula_sum 'Pm12 Pt8'
_symmetry_space_group_name_H-M 'P n m a'
_symmetry_Int_Tables_number 62
_cell_length_a 11.3953
_cell_length_b 4.0106
_cell_length_c 11.7900
_cell_angle_alpha 90.00
_cell_angle_beta 90.00
_cell_angle_gamma 90.00
loop_
_symmetry_equiv_pos_as_xyz
'x,y,z'
'-x,-y,-z'
'-x+1/2,-y,z+1/2'
'x+1/2,y,-z+1/2'
'x+1/2,-y+1/2,-z+1/2'
'-x+1/2,y+1/2,z+1/2'
'-x,y+1/2,-z'
'x,-y+1/2,z'
loop_
_atom_site_label
_atom_site_type_symbol
_atom_site_fract_x
_atom_site_fract_y
_atom_site_fract_z
_atom_site_occupancy
Pm1 Pm 0.0540 0.2500 0.1311 1
Pm2 Pm 0.1223 0.7500 0.5604 1
Pm3 Pm 0.2192 0.2500 0.8070 1
Pt1 Pt 0.0149 0.7500 0.3174 1
Pt2 Pt 0.1835 0.7500 0.9902 1
```

=====

An optimized crystal structure of AcSm2Y2Ho2. Source: Alexandria, functional GGA-PBE.

Computed properties:
Total magnetization ... 0.0 μB/cell
Formation energy ... 42 meV/atom
Volume ... 476.1 Å³ per cell
Density of states at the Fermi level ... 21.47 states/eV/cell

CIF file:
```
data_AcSm2Y2Ho2
_chemical_formula_sum 'Ac2 Sm4 Y4 Ho4'
_symmetry_space_group_name_H-M 'C 1 2/m 1'
_symmetry_Int_Tables_number 12
_cell_length_a 11.5116
_cell_length_b 5.1427
_cell_length_c 8.1326
_cell_angle_alpha 90.00
_cell_angle_beta 98.53
_cell_angle_gamma 90.00
loop_
_symmetry_equiv_pos_as_xyz
'x,y,z'
'-x,-y,-z'
'-x,y,-z'
'x,-y,z'
'x+1/2,y+1/2,z'
'-x+1/2,-y+1/2,-z'
'-x+1/2,y+1/2,-z'
'x+1/2,-y+1/2,z'
loop_
_atom_site_label
_atom_site_type_symbol
_atom_site_fract_x
_atom_site_fract_y
_atom_site_fract_z
_atom_site_occupancy
Ac1 Ac 0.0000 0.0000 0.0000 1
Sm1 Sm 0.2156 0.5000 0.1486 1
Y1 Y 0.1424 0.0000 0.4330 1
Ho1 Ho 0.0738 0.5000 0.7079 1
```

=====

An optimized crystal structure of CrPBr2. Source: Alexandria, functional GGA-PBE.

Computed properties:
Energy above the most stable polymorph in this dataset ... 1057 meV per atom
Total magnetization ... 4.3 μB/cell
Volume ... 84.3 Å³ per cell
Formation energy (no corrections) ... 0.68 eV per atom
Density of states at the Fermi level ... 3.77 states/eV/cell

CIF file:
```
data_CrPBr2
_chemical_formula_sum 'Cr1 P1 Br2'
_symmetry_space_group_name_H-M 'P 4/m m m'
_symmetry_Int_Tables_number 123
_symmetry_space_group_name_Hall '-P 4 2'
_cell_length_a 4.8969
_cell_length_b 4.8969
_cell_length_c 3.5172
_cell_angle_alpha 90.00
_cell_angle_beta 90.00
_cell_angle_gamma 90.00
loop_
_atom_site_label
_atom_site_type_symbol
_atom_site_fract_x
_atom_site_fract_y
_atom_site_fract_z
_atom_site_occupancy
Cr1 Cr 0.0000 0.0000 0.0000 1
P1 P 0.5000 0.5000 0.0000 1
Br1 Br 0.0000 0.5000 0.5000 1
```